Record 1
An optimized crystal structure of NpGaMo. Source: the Alexandria database, functional PBE.

## Properties
Energy above the lowest structure with this stoichiometry: 0.00 eV per formula unit
Crystal system: tetragonal
DFT total energy: -8.71 eV/atom

Unit cell a=3.212 b=3.212 c=10.945 alpha=90.00 beta=90.00 gamma=90.00
Space group I4mm (No. 107)
One atom of each set of equivalent atoms:
1 Np 0.000 0.000 0.000
2 Ga 0.000 0.000 0.706
3 Mo 0.000 0.000 0.338

---

Record 2
An optimized crystal structure of Ac6NdDy3. Source: the Alexandria database, functional PBE.

## Properties
Crystal system: monoclinic
DFT total energy: -4.22 eV/atom

Unit cell a=13.645 b=3.802 c=16.789 alpha=90.00 beta=113.13 gamma=90.00
Space group P2_1/m (No. 11)
One atom of each set of equivalent atoms:
1 Ac 0.049 0.250 0.209
2 Ac 0.241 0.250 0.588
3 Ac 0.266 0.750 0.401
4 Ac 0.311 0.750 0.201
5 Ac 0.367 0.750 0.997
6 Ac 0.433 0.750 0.794
7 Nd 0.120 0.250 0.997
8 Dy 0.019 0.750 0.411
9 Dy 0.195 0.250 0.802
10 Dy 0.500 0.250 0.405

---

Record 3
An optimized crystal structure of DyGe2RuRh. Source: the Alexandria database, functional PBE.

## Properties
Crystal system: tetragonal
DFT total energy: -6.88 eV/atom

Unit cell a=4.204 b=4.204 c=10.084 alpha=90.00 beta=90.00 gamma=90.00
Space group I-4m2 (No. 119)
One atom of each set of equivalent atoms:
1 Dy 0.000 0.000 0.000
2 Ge 0.000 0.000 0.374
3 Ru 0.000 0.500 0.750
4 Rh 0.000 0.500 0.250

---

Record 4
An optimized crystal structure of CsRb2HoCl6. Source: the Alexandria database, functional PBE.

## Properties
Formation energy (no corrections): -2.144 eV/atom
Crystal system: monoclinic
DFT total energy: -3.99 eV/atom

Unit cell a=7.898 b=8.365 c=13.692 alpha=90.00 beta=124.61 gamma=90.00
Space group P2_1/c (No. 14)
One atom of each set of equivalent atoms:
1 Cs 0.000 0.000 0.000
2 Rb 0.215 0.070 0.743
3 Ho 0.500 0.000 0.500
4 Cl 0.175 0.171 0.442
5 Cl 0.264 0.740 0.417
6 Cl 0.422 0.064 0.288

---

Record 5
An optimized crystal structure of CePr3Y6Er2. Source: the Alexandria database, functional PBE.

## Properties
Crystal system: monoclinic
DFT total energy: -5.65 eV/atom

Unit cell a=6.238 b=10.803 c=11.881 alpha=90.00 beta=100.06 gamma=90.00
Space group C2/m (No. 12)
One atom of each set of equivalent atoms:
1 Ce 0.000 0.000 0.000
2 Pr 0.000 0.168 0.500
3 Pr 0.000 0.500 0.500
4 Y 0.247 0.166 0.245
5 Y 0.250 0.000 0.755
6 Er 0.000 0.333 0.000

---

Record 6
An optimized crystal structure of TaInS2. Source: the Alexandria database, functional PBE.

## Properties
Formation energy (no corrections): -0.832 eV/atom
Crystal system: orthorhombic
DFT total energy: -6.54 eV/atom

Unit cell a=8.628 b=3.335 c=5.776 alpha=90.00 beta=90.00 gamma=90.00
Space group Amm2 (No. 38)
One atom of each set of equivalent atoms:
1 Ta 0.000 0.000 0.000
2 In 0.500 0.000 0.334
3 S 0.182 0.000 0.666

---

Please write out number 1 again, unchanged.
An optimized crystal structure of NpGaMo. Source: the Alexandria database, functional PBE.

## Properties
Energy above the lowest structure with this stoichiometry: 0.00 eV per formula unit
Crystal system: tetragonal
DFT total energy: -8.71 eV/atom

Unit cell a=3.212 b=3.212 c=10.945 alpha=90.00 beta=90.00 gamma=90.00
Space group I4mm (No. 107)
One atom of each set of equivalent atoms:
1 Np 0.000 0.000 0.000
2 Ga 0.000 0.000 0.706
3 Mo 0.000 0.000 0.338

---

> DFT total energy of number 1 (NpGaMo)?

-8.71 eV/atom